# Y6Si7Ni16

A relaxed structure of Y6Si7Ni16 (GGA-PBEsol, Alexandria via LeMat-Bulk).

Properties
E_tot   -6.93 eV per atom
N(E_F)   0.832 states/eV per atom
ΔE_f (raw)   -734 meV per atom
Total moment   0.0 μB per formula unit

CIF file:
```
data_Y6Si7Ni16
_space_group_name_H-M_alt 'F m -3 m'
_space_group_IT_number 225
_space_group_name_Hall '-F 4 2 3'
_cell_length_a 11.617
_cell_length_b 11.617
_cell_length_c 11.617
_cell_angle_alpha 90.00
_cell_angle_beta 90.00
_cell_angle_gamma 90.00
loop_
_atom_site_label
_atom_site_fract_x
_atom_site_fract_y
_atom_site_fract_z
_atom_site_occupancy
Y1 0.000 0.000 0.210 1
Si1 0.000 0.000 0.500 1
Si2 0.000 0.250 0.250 1
Ni1 0.121 0.121 0.379 1
Ni2 0.172 0.172 0.172 1
```